{"formula": "CsSc2Se", "functional": "PBE-GGA", "state": "optimized geometry", "lattice": [[1.865, 1.077, 10.366], [-1.865, 1.077, 10.366], [0.000, -2.153, 10.366]], "species": ["Cs", "Sc", "Sc", "Se"], "frac_coords": [[0.000, 0.000, 0.000], [0.116, 0.116, 0.116], [0.884, 0.884, 0.884], [0.500, 0.500, 0.500]], "formation_energy_uncorrected_ev_per_atom": -0.40, "sg": "R-3m (166)", "e_tot_ev_per_atom": -4.65, "rho_g_cm3": 4.01}

{"formula": "Pr6C2S3Cl", "functional": "PBE-GGA", "state": "optimized geometry", "lattice": [[8.768, -1.978, 0.000], [8.768, 1.978, 0.000], [-1.805, 0.000, 8.021]], "species": ["Pr", "Pr", "Pr", "Pr", "Pr", "Pr", "C", "C", "S", "S", "S", "Cl"], "frac_coords": [[0.018, 0.018, 0.275], [0.324, 0.324, 0.877], [0.326, 0.326, 0.433], [0.674, 0.674, 0.567], [0.676, 0.676, 0.123], [0.982, 0.982, 0.725], [0.168, 0.168, 0.331], [0.832, 0.832, 0.669], [0.160, 0.160, 0.837], [0.500, 0.500, 0.500], [0.840, 0.840, 0.163], [0.500, 0.500, 0.000]], "formation_energy_uncorrected_ev_per_atom": -1.34, "sg": "C2/m (12)", "e_tot_ev_per_atom": -6.45, "rho_g_cm3": 5.97}

{"formula": "CuPtBr2", "functional": "PBE-GGA", "state": "optimized geometry", "lattice": [[3.554, 0.000, 0.000], [0.000, 3.554, 0.000], [0.000, 0.000, 7.368]], "species": ["Cu", "Pt", "Br", "Br"], "frac_coords": [[0.000, 0.000, 0.000], [0.500, 0.500, 0.092], [0.000, 0.000, 0.329], [0.500, 0.500, 0.762]], "de_polymorph_mev_per_atom": 167, "formation_energy_uncorrected_ev_per_atom": 0.21, "sg": "P4mm (99)", "e_tot_ev_per_atom": -3.16, "rho_g_cm3": 7.46}

{"formula": "Al2Cu2Sn", "functional": "PBE-GGA", "state": "optimized geometry", "lattice": [[-1.923, 1.923, 5.740], [1.923, -1.923, 5.740], [1.923, 1.923, -5.740]], "species": ["Al", "Al", "Cu", "Cu", "Sn"], "frac_coords": [[0.250, 0.750, 0.500], [0.750, 0.250, 0.500], [0.108, 0.108, 0.000], [0.892, 0.892, 0.000], [0.500, 0.500, 0.000]], "de_polymorph_mev_per_atom": 0, "ef_mev_per_atom": -11, "sg": "I4/mmm (139)", "e_tot_ev_per_atom": -3.95, "rho_g_cm3": 5.87}

{"formula": "AsPtS4", "functional": "PBE-GGA", "state": "optimized geometry", "lattice": [[6.407, -1.757, 0.000], [6.407, 1.757, 0.000], [-0.818, 0.000, 6.029]], "species": ["As", "Pt", "S", "S", "S", "S"], "frac_coords": [[0.000, 0.000, 0.000], [0.500, 0.500, 0.500], [0.105, 0.105, 0.375], [0.390, 0.390, 0.148], [0.610, 0.610, 0.852], [0.895, 0.895, 0.625]], "formation_energy_uncorrected_ev_per_atom": -0.16, "sg": "C2/m (12)", "e_tot_ev_per_atom": -4.70, "rho_g_cm3": 4.87}

{"formula": "Mg2AsPt", "functional": "PBE-GGA", "state": "optimized geometry", "lattice": [[-3.624, 3.624, 2.924], [3.624, -3.624, 2.924], [3.624, 3.624, -2.924]], "species": ["Mg", "Mg", "Mg", "Mg", "As", "As", "Pt", "Pt"], "frac_coords": [[0.121, 0.625, 0.996], [0.375, 0.371, 0.496], [0.629, 0.125, 0.004], [0.875, 0.879, 0.504], [0.250, 0.750, 0.500], [0.500, 0.500, 0.000], [0.000, 0.000, 0.000], [0.750, 0.250, 0.500]], "ef_mev_per_atom": -286, "sg": "I-42d (122)", "e_tot_ev_per_atom": -3.76, "rho_g_cm3": 6.89}

{"formula": "Cu2Re", "functional": "PBE-GGA", "state": "optimized geometry", "lattice": [[5.829, 0.000, 0.000], [0.000, 5.829, 0.000], [0.000, 0.000, 5.829]], "species": ["Cu", "Cu", "Cu", "Cu", "Cu", "Cu", "Cu", "Cu", "Re", "Re", "Re", "Re"], "frac_coords": [[0.120, 0.120, 0.120], [0.120, 0.380, 0.620], [0.380, 0.620, 0.120], [0.380, 0.880, 0.620], [0.620, 0.120, 0.380], [0.620, 0.380, 0.880], [0.880, 0.620, 0.380], [0.880, 0.880, 0.880], [0.000, 0.000, 0.500], [0.000, 0.500, 0.000], [0.500, 0.000, 0.000], [0.500, 0.500, 0.500]], "de_polymorph_mev_per_atom": 1380, "ef_mev_per_atom": 1569, "sg": "Pa-3 (205)", "e_tot_ev_per_atom": -5.31, "rho_g_cm3": 10.51}

{"formula": "NbCrTc", "functional": "PBE-GGA", "state": "optimized geometry", "lattice": [[-1.551, 1.551, 4.639], [1.551, -1.551, 4.639], [1.551, 1.551, -4.639]], "species": ["Nb", "Cr", "Tc"], "frac_coords": [[0.000, 0.000, 0.000], [0.667, 0.667, 0.000], [0.324, 0.324, 0.000]], "de_polymorph_mev_per_atom": 27, "ef_mev_per_atom": -44, "sg": "I4mm (107)", "e_tot_ev_per_atom": -10.06, "rho_g_cm3": 9.04}

{"formula": "Nd2PN4", "functional": "PBE-GGA", "state": "optimized geometry", "lattice": [[6.990, 0.000, 0.000], [0.000, 5.579, 0.000], [0.000, 0.000, 9.694]], "species": ["Nd", "Nd", "Nd", "Nd", "Nd", "Nd", "Nd", "Nd", "P", "P", "P", "P", "N", "N", "N", "N", "N", "N", "N", "N", "N", "N", "N", "N", "N", "N", "N", "N"], "frac_coords": [[0.001, 0.250, 0.193], [0.152, 0.250, 0.578], [0.348, 0.750, 0.078], [0.499, 0.750, 0.693], [0.501, 0.250, 0.307], [0.652, 0.250, 0.922], [0.848, 0.750, 0.422], [0.999, 0.750, 0.807], [0.223, 0.250, 0.920], [0.277, 0.750, 0.420], [0.723, 0.250, 0.580], [0.777, 0.750, 0.080], [0.010, 0.750, 0.074], [0.176, 0.750, 0.574], [0.197, 0.511, 0.342], [0.197, 0.989, 0.342], [0.303, 0.011, 0.842], [0.303, 0.489, 0.842], [0.324, 0.250, 0.074], [0.490, 0.250, 0.574], [0.510, 0.750, 0.426], [0.676, 0.750, 0.926], [0.697, 0.511, 0.158], [0.697, 0.989, 0.158], [0.803, 0.011, 0.658], [0.803, 0.489, 0.658], [0.824, 0.250, 0.426], [0.990, 0.250, 0.926]], "formation_energy_uncorrected_ev_per_atom": -1.04, "sg": "Pnma (62)", "e_tot_ev_per_atom": -7.94, "rho_g_cm3": 6.60}

{"formula": "CaYBe2Ge", "functional": "PBE-GGA", "state": "optimized geometry", "lattice": [[4.809, 0.000, 0.000], [0.000, 4.809, 0.000], [0.000, 0.000, 5.687]], "species": ["Ca", "Y", "Be", "Be", "Ge"], "frac_coords": [[0.000, 0.000, 0.000], [0.000, 0.000, 0.500], [0.000, 0.500, 0.000], [0.500, 0.000, 0.000], [0.500, 0.500, 0.500]], "ef_mev_per_atom": 1608, "sg": "P4/mmm (123)", "e_tot_ev_per_atom": -2.50, "rho_g_cm3": 2.77}

{"formula": "La12Pm5Er", "functional": "PBE-GGA", "state": "optimized geometry", "lattice": [[6.414, 0.000, 0.000], [-0.004, 11.049, 0.000], [-3.162, -5.520, 9.072]], "species": ["La", "La", "La", "La", "La", "La", "La", "La", "La", "La", "La", "La", "Pm", "Pm", "Pm", "Pm", "Pm", "Er"], "frac_coords": [[0.000, 0.167, 0.000], [0.000, 0.833, 0.000], [0.167, 0.002, 0.668], [0.167, 0.665, 0.667], [0.333, 0.497, 0.333], [0.333, 0.836, 0.333], [0.500, 0.329, 0.000], [0.500, 0.671, 0.000], [0.667, 0.164, 0.667], [0.667, 0.503, 0.667], [0.833, 0.335, 0.333], [0.833, 0.998, 0.332], [0.000, 0.500, 0.000], [0.168, 0.333, 0.667], [0.335, 0.166, 0.332], [0.665, 0.834, 0.668], [0.832, 0.667, 0.333], [0.500, 0.000, 0.000]], "ef_mev_per_atom": 18, "sg": "P-1 (2)", "e_tot_ev_per_atom": -4.84, "rho_g_cm3": 6.61}

{"formula": "ScFeSiIr2", "functional": "PBE-GGA", "state": "optimized geometry", "lattice": [[4.472, 0.000, 0.000], [0.000, 4.472, 0.000], [0.000, 0.000, 4.518]], "species": ["Sc", "Fe", "Si", "Ir", "Ir"], "frac_coords": [[0.000, 0.000, 0.000], [0.000, 0.000, 0.500], [0.500, 0.500, 0.000], [0.000, 0.500, 0.500], [0.500, 0.000, 0.500]], "formation_energy_uncorrected_ev_per_atom": 0.71, "sg": "P4/mmm (123)", "e_tot_ev_per_atom": -6.87, "rho_g_cm3": 9.43}

{"formula": "SiTe2Rh", "functional": "PBE-GGA", "state": "optimized geometry", "lattice": [[3.764, -1.958, 0.000], [3.764, 1.958, 0.000], [-1.561, 0.000, 6.441]], "species": ["Si", "Te", "Te", "Rh"], "frac_coords": [[0.000, 0.000, 0.000], [0.153, 0.153, 0.704], [0.439, 0.439, 0.300], [0.703, 0.703, 0.061]], "formation_energy_uncorrected_ev_per_atom": -0.13, "sg": "Cm (8)", "e_tot_ev_per_atom": -4.89, "rho_g_cm3": 6.76}

{"formula": "CeMgSi2Au5", "functional": "PBE-GGA", "state": "optimized geometry", "lattice": [[4.591, 0.000, 0.000], [0.000, 4.591, 0.000], [0.000, 0.000, 9.505]], "species": ["Ce", "Mg", "Si", "Si", "Au", "Au", "Au", "Au", "Au"], "frac_coords": [[0.000, 0.000, 0.000], [0.000, 0.000, 0.500], [0.500, 0.500, 0.248], [0.500, 0.500, 0.752], [0.000, 0.500, 0.331], [0.000, 0.500, 0.669], [0.500, 0.000, 0.331], [0.500, 0.000, 0.669], [0.500, 0.500, 0.000]], "formation_energy_uncorrected_ev_per_atom": -0.28, "sg": "P4/mmm (123)", "e_tot_ev_per_atom": -4.14, "rho_g_cm3": 9.99}

{"formula": "ZrAg3", "functional": "PBE-GGA", "state": "optimized geometry", "lattice": [[4.891, 0.000, 0.000], [0.000, 6.152, 0.000], [0.000, 0.000, 5.000]], "species": ["Zr", "Zr", "Ag", "Ag", "Ag", "Ag", "Ag", "Ag"], "frac_coords": [[0.250, 0.250, 0.161], [0.750, 0.750, 0.839], [0.250, 0.503, 0.668], [0.250, 0.750, 0.173], [0.250, 0.997, 0.668], [0.750, 0.003, 0.332], [0.750, 0.250, 0.827], [0.750, 0.497, 0.332]], "ef_mev_per_atom": -24, "sg": "Pmmn (59)", "e_tot_ev_per_atom": -4.30, "rho_g_cm3": 9.16}

{"formula": "TlOsNO2", "functional": "PBE-GGA", "state": "optimized geometry", "lattice": [[4.160, 0.000, 0.000], [0.000, 4.160, 0.000], [0.000, 0.000, 4.335]], "species": ["Tl", "Os", "N", "O", "O"], "frac_coords": [[0.000, 0.000, 0.000], [0.500, 0.500, 0.500], [0.000, 0.000, 0.500], [0.000, 0.500, 0.000], [0.500, 0.000, 0.000]], "formation_energy_uncorrected_ev_per_atom": 1.88, "sg": "P4/mmm (123)", "e_tot_ev_per_atom": -4.49, "rho_g_cm3": 9.75}

{"formula": "Cr3HPd", "functional": "PBE-GGA", "state": "optimized geometry", "lattice": [[4.931, 0.000, 0.000], [0.000, 4.931, 0.000], [0.000, 0.000, 4.931]], "species": ["Cr", "Cr", "Cr", "H", "Pd"], "frac_coords": [[0.000, 0.000, 0.500], [0.000, 0.500, 0.000], [0.500, 0.000, 0.000], [0.500, 0.500, 0.500], [0.000, 0.000, 0.000]], "de_polymorph_mev_per_atom": 1566, "sg": "Pm-3m (221)", "e_tot_ev_per_atom": -5.79, "rho_g_cm3": 3.65}

{"formula": "Li6InSn5", "functional": "PBE-GGA", "state": "optimized geometry", "lattice": [[2.450, -7.392, 0.000], [2.450, 7.392, 0.000], [0.000, 0.000, 6.677]], "species": ["Li", "Li", "Li", "Li", "Li", "Li", "In", "Sn", "Sn", "Sn", "Sn", "Sn"], "frac_coords": [[0.000, 0.000, 0.247], [0.000, 0.000, 0.753], [0.333, 0.667, 0.251], [0.333, 0.667, 0.749], [0.667, 0.333, 0.251], [0.667, 0.333, 0.749], [0.500, 0.500, 0.500], [0.165, 0.835, 0.500], [0.167, 0.833, 0.000], [0.500, 0.500, 0.000], [0.833, 0.167, 0.000], [0.835, 0.165, 0.500]], "de_polymorph_mev_per_atom": 0, "ef_mev_per_atom": -314, "sg": "Cmmm (65)", "e_tot_ev_per_atom": -3.17, "rho_g_cm3": 5.15}

{"formula": "RbU2AuS6", "functional": "PBE-GGA", "state": "optimized geometry", "lattice": [[6.096, -9.164, 0.000], [6.096, 9.164, 0.000], [-1.345, 0.000, 5.261]], "species": ["Rb", "Rb", "U", "U", "U", "U", "Au", "Au", "S", "S", "S", "S", "S", "S", "S", "S", "S", "S", "S", "S"], "frac_coords": [[0.109, 0.891, 0.750], [0.891, 0.109, 0.250], [0.285, 0.458, 0.933], [0.458, 0.285, 0.433], [0.542, 0.715, 0.567], [0.715, 0.542, 0.067], [0.278, 0.722, 0.250], [0.722, 0.278, 0.750], [0.093, 0.246, 0.833], [0.145, 0.589, 0.862], [0.246, 0.093, 0.333], [0.326, 0.457, 0.446], [0.411, 0.855, 0.638], [0.457, 0.326, 0.946], [0.543, 0.674, 0.054], [0.589, 0.145, 0.362], [0.674, 0.543, 0.554], [0.754, 0.907, 0.667], [0.855, 0.411, 0.138], [0.907, 0.754, 0.167]], "formation_energy_uncorrected_ev_per_atom": -0.97, "sg": "C2/c (15)", "e_tot_ev_per_atom": -6.13, "rho_g_cm3": 5.37}

{"formula": "Pr2IrBr", "functional": "PBE-GGA", "state": "optimized geometry", "lattice": [[2.094, 1.209, 7.946], [-2.094, 1.209, 7.946], [0.000, -2.418, 7.946]], "species": ["Pr", "Pr", "Ir", "Br"], "frac_coords": [[0.000, 0.000, 0.000], [0.205, 0.205, 0.205], [0.602, 0.602, 0.602], [0.772, 0.772, 0.772]], "de_polymorph_mev_per_atom": 23, "formation_energy_uncorrected_ev_per_atom": -1.06, "sg": "R3m (160)", "e_tot_ev_per_atom": -6.09, "rho_g_cm3": 7.62}

{"formula": "PrGa2Cu2Pd", "functional": "PBE-GGA", "state": "optimized geometry", "lattice": [[4.737, 0.000, 0.000], [0.000, 4.737, 0.000], [0.000, 0.000, 5.543]], "species": ["Pr", "Ga", "Ga", "Cu", "Cu", "Pd"], "frac_coords": [[0.000, 0.000, 0.000], [0.000, 0.500, 0.500], [0.500, 0.000, 0.500], [0.500, 0.500, 0.227], [0.500, 0.500, 0.773], [0.000, 0.000, 0.500]], "ef_mev_per_atom": -99, "sg": "P4/mmm (123)", "e_tot_ev_per_atom": -4.13, "rho_g_cm3": 6.86}

{"formula": "BeCdOsPb2", "functional": "PBE-GGA", "state": "optimized geometry", "lattice": [[5.244, 0.000, 0.000], [0.000, 5.244, 0.000], [0.000, 0.000, 5.337]], "species": ["Be", "Cd", "Os", "Pb", "Pb"], "frac_coords": [[0.000, 0.000, 0.000], [0.500, 0.500, 0.000], [0.500, 0.500, 0.500], [0.000, 0.500, 0.500], [0.500, 0.000, 0.500]], "ef_mev_per_atom": 937, "sg": "P4/mmm (123)", "e_tot_ev_per_atom": -3.72, "rho_g_cm3": 8.21}

{"formula": "Zr2TcMo", "functional": "PBE-GGA", "state": "optimized geometry", "lattice": [[-3.689, 3.689, 2.848], [3.689, -3.689, 2.848], [3.689, 3.689, -2.848]], "species": ["Zr", "Zr", "Zr", "Zr", "Tc", "Tc", "Mo", "Mo"], "frac_coords": [[0.113, 0.625, 0.988], [0.375, 0.363, 0.488], [0.637, 0.125, 0.012], [0.875, 0.887, 0.512], [0.000, 0.000, 0.000], [0.750, 0.250, 0.500], [0.250, 0.750, 0.500], [0.500, 0.500, 0.000]], "ef_mev_per_atom": 481, "sg": "I-42d (122)", "e_tot_ev_per_atom": -9.09, "rho_g_cm3": 8.06}

{"formula": "Mn3Co4Ge", "functional": "PBE-GGA", "state": "optimized geometry", "lattice": [[-2.019, 2.019, 5.734], [2.019, -2.019, 5.734], [2.019, 2.019, -5.734]], "species": ["Mn", "Mn", "Mn", "Co", "Co", "Co", "Co", "Ge"], "frac_coords": [[0.000, 0.000, 0.000], [0.251, 0.251, 0.000], [0.749, 0.749, 0.000], [0.126, 0.626, 0.500], [0.374, 0.874, 0.500], [0.626, 0.126, 0.500], [0.874, 0.374, 0.500], [0.500, 0.500, 0.000]], "ef_mev_per_atom": -122, "sg": "I4/mmm (139)", "e_tot_ev_per_atom": -7.69, "rho_g_cm3": 8.40}